# GGA-PBE BaMg2GaRh2, optimized geometry
data_BaMg2GaRh2
_cell_length_a 4.713
_cell_length_b 4.713
_cell_length_c 6.545
_cell_angle_alpha 90.00
_cell_angle_beta 90.00
_cell_angle_gamma 90.00
_symmetry_space_group_name_H-M 'P 1'
_symmetry_Int_Tables_number 1
loop_
_symmetry_equiv_pos_as_xyz
'x,y,z'
loop_
_atom_site_label
_atom_site_type_symbol
_atom_site_fract_x
_atom_site_fract_y
_atom_site_fract_z
Ba1 Ba 0.000 0.000 0.000
Mg1 Mg 0.500 0.500 0.277
Mg2 Mg 0.500 0.500 0.723
Ga1 Ga 0.000 0.000 0.500
Rh1 Rh 0.000 0.500 0.500
Rh2 Rh 0.500 0.000 0.500
# * DFT formation energy: -0.352 eV/atom